12
Lattice="6.603 0.000 0.000 0.000 3.638 0.000 -1.920 0.000 18.038" Properties=species:S:1:pos:R:3 comment="La2Pm3Pr7 (PBE-GGA, relaxed)" formation_energy_ev_per_fu=0.76 crystal_system=monoclinic magnetic_moment_mub_per_fu=0.0 volume_a3_per_atom=36.11 sg="No. 10" de_polymorph_mev_per_atom=0 pbc="T T T"
La 0.058 0.000 3.053
La 4.625 0.000 14.985
Pm 1.383 1.819 15.148
Pm 2.342 0.000 9.019
Pm 3.300 1.819 2.890
Pr -0.960 1.819 9.019
Pr 0.221 0.000 12.042
Pr -0.218 0.000 17.995
Pr 1.178 1.819 6.044
Pr 3.505 1.819 11.994
Pr 4.901 0.000 0.043
Pr 4.462 0.000 5.995